Here is a relaxed structure of Ni4Pt2O9 from Alexandria via LeMat-Bulk. Energies are from PBE with a Hubbard U.

a b c (Å): 5.1190 5.1190 13.8929
angles (deg): 90.00 90.00 120.00
With the nearest neighbours (Å) after each atom.
Space group P-3c1 (No. 165)
Inequivalent atoms, fractional coordinates:
1 Ni 0.3333 0.6667 0.1819 x4  6 O 2.04-2.09
2 Ni 0.3333 0.6667 0.4848 x4  6 O 2.01-2.08
3 Pt 0.0000 0.0000 0.1493 x4  6 O 2.00-2.07
4 O 0.0000 0.2987 0.2500 x6  2 Ni 2.04, 2 Pt 2.07
5 O 0.0265 0.3589 0.5829 x12  1 Pt 2.00, 3 Ni 2.01-2.09

Calculated values
calculated total energy	-5.195	eV per atom
Fermi-level density of states	11.30	states/eV/cell